1.
This record from Alexandria describes a relaxed BaTcPt2 crystal. The functional is PBE.

Unit cell a=2.992 b=2.992 c=30.088 alpha=90.00 beta=90.00 gamma=120.00
Fractional coordinates of all 12 atoms:
Ba (0.000, 0.000, 0.000)
Ba (0.333, 0.667, 0.667)
Ba (0.667, 0.333, 0.333)
Tc (0.000, 0.000, 0.500)
Tc (0.333, 0.667, 0.167)
Tc (0.667, 0.333, 0.833)
Pt (0.000, 0.000, 0.237)
Pt (0.000, 0.000, 0.763)
Pt (0.333, 0.667, 0.430)
Pt (0.333, 0.667, 0.904)
Pt (0.667, 0.333, 0.096)
Pt (0.667, 0.333, 0.570)

Properties
* ΔH_f (0 K): 0.486 eV/atom
* ρ: 13.36 g cm⁻³
* energy above the lowest structure with this stoichiometry: 693 meV per atom

2.
This record from Alexandria describes a relaxed SiP2O2 crystal. The functional is PBE.

Unit cell a=3.497 b=3.497 c=4.656 alpha=90.00 beta=90.00 gamma=90.00
Fractional coordinates of all 5 atoms:
Si (0.000, 0.000, 0.000)
P (0.500, 0.500, 0.000)
P (0.500, 0.500, 0.500)
O (0.000, 0.500, 0.500)
O (0.500, 0.000, 0.500)

Properties
* ρ: 3.56 g cm⁻³
* energy above the lowest structure with this stoichiometry: 452 meV per atom

3.
This record from Alexandria describes a relaxed SrRuSeO2 crystal. The functional is PBE.

Unit cell a=3.943 b=3.943 c=5.831 alpha=90.00 beta=90.00 gamma=90.00
Fractional coordinates of all 5 atoms:
Sr (0.000, 0.000, 0.000)
Ru (0.500, 0.500, 0.336)
Se (0.500, 0.500, 0.744)
O (0.000, 0.500, 0.268)
O (0.500, 0.000, 0.268)

Properties
* ρ: 5.49 g cm⁻³
* total DFT energy (no corrections): -30.9 eV per cell

4.
This record from Alexandria describes a relaxed TbAgGe crystal. The functional is PBE.

Unit cell a=3.463 b=3.463 c=10.837 alpha=90.00 beta=90.00 gamma=90.00
Fractional coordinates of all 6 atoms:
Tb (0.000, 0.000, 0.000)
Tb (0.500, 0.500, 0.500)
Ag (0.000, 0.000, 0.317)
Ag (0.500, 0.500, 0.817)
Ge (0.000, 0.000, 0.677)
Ge (0.500, 0.500, 0.177)

Properties
* ΔH_f (0 K): -0.255 eV/atom
* ρ: 8.67 g cm⁻³

5.
This record from Alexandria describes a relaxed Na2MgGe crystal. The functional is PBE.

Unit cell a=7.202 b=7.202 c=7.202 alpha=90.00 beta=90.00 gamma=90.00
Fractional coordinates of all 16 atoms:
Na (0.250, 0.250, 0.250)
Na (0.250, 0.250, 0.750)
Na (0.250, 0.750, 0.250)
Na (0.250, 0.750, 0.750)
Na (0.750, 0.250, 0.250)
Na (0.750, 0.250, 0.750)
Na (0.750, 0.750, 0.250)
Na (0.750, 0.750, 0.750)
Mg (0.000, 0.000, 0.000)
Mg (0.000, 0.500, 0.500)
Mg (0.500, 0.000, 0.500)
Mg (0.500, 0.500, 0.000)
Ge (0.000, 0.000, 0.500)
Ge (0.000, 0.500, 0.000)
Ge (0.500, 0.000, 0.000)
Ge (0.500, 0.500, 0.500)

Properties
* ΔH_f (0 K): 0.091 eV/atom
* ρ: 2.54 g cm⁻³

6.
This record from Alexandria describes a relaxed KScPt2I crystal. The functional is PBE.

Unit cell a=5.090 b=5.090 c=5.526 alpha=90.00 beta=90.00 gamma=90.00
Fractional coordinates of all 5 atoms:
K (0.000, 0.000, 0.000)
Sc (0.000, 0.000, 0.500)
Pt (0.000, 0.500, 0.000)
Pt (0.500, 0.000, 0.000)
I (0.500, 0.500, 0.500)

Properties
* ρ: 6.97 g cm⁻³
* total DFT energy (no corrections): -13.8 eV per cell

7.
This record from Alexandria describes a relaxed BeMoPtSe2 crystal. The functional is PBE.

Unit cell a=4.367 b=4.367 c=4.395 alpha=90.00 beta=90.00 gamma=90.00
Fractional coordinates of all 5 atoms:
Be (0.000, 0.000, 0.000)
Mo (0.000, 0.000, 0.500)
Pt (0.500, 0.500, 0.500)
Se (0.000, 0.500, 0.000)
Se (0.500, 0.000, 0.000)

Properties
* ρ: 9.07 g cm⁻³
* total DFT energy (no corrections): -23.7 eV per cell

8.
This record from Alexandria describes a relaxed Na2TlPbBr8 crystal. The functional is PBE.

Unit cell a=6.735 b=6.846 c=8.945 alpha=90.00 beta=90.00 gamma=84.26
Fractional coordinates of all 12 atoms:
Na (0.001, 0.000, 0.240)
Na (0.999, 0.000, 0.760)
Tl (0.500, 0.500, 0.000)
Pb (0.500, 0.500, 0.500)
Br (0.209, 0.833, 0.500)
Br (0.250, 0.836, 0.000)
Br (0.281, 0.343, 0.243)
Br (0.282, 0.342, 0.757)
Br (0.718, 0.658, 0.243)
Br (0.719, 0.657, 0.757)
Br (0.750, 0.164, 0.000)
Br (0.791, 0.167, 0.500)

Properties
* ρ: 4.44 g cm⁻³
* total DFT energy (no corrections): -32.1 eV per cell

9.
This record from Alexandria describes a relaxed Ti3BeTe crystal. The functional is PBE.

Unit cell a=4.955 b=4.955 c=4.955 alpha=90.00 beta=90.00 gamma=90.00
Fractional coordinates of all 5 atoms:
Ti (0.000, 0.000, 0.500)
Ti (0.000, 0.500, 0.000)
Ti (0.500, 0.000, 0.000)
Be (0.500, 0.500, 0.500)
Te (0.000, 0.000, 0.000)

Properties
* ρ: 3.82 g cm⁻³
* energy above the lowest structure with this stoichiometry: 1452 meV per atom

10.
This record from Alexandria describes a relaxed PuGeF crystal. The functional is PBE.

Unit cell a=3.994 b=3.994 c=4.496 alpha=90.00 beta=90.00 gamma=120.00
Fractional coordinates of all 3 atoms:
Pu (0.000, 0.000, 0.000)
Ge (0.333, 0.667, 0.500)
F (0.667, 0.333, 0.000)

Properties
* ρ: 8.97 g cm⁻³
* energy above the lowest structure with this stoichiometry: 391 meV per atom

11.
This record from Alexandria describes a relaxed PuPaSe2 crystal. The functional is PBE.

Unit cell a=3.989 b=3.989 c=21.129 alpha=90.00 beta=90.00 gamma=120.00
Fractional coordinates of all 12 atoms:
Pu (0.000, 0.000, 0.000)
Pu (0.333, 0.667, 0.667)
Pu (0.667, 0.333, 0.333)
Pa (0.000, 0.000, 0.500)
Pa (0.333, 0.667, 0.167)
Pa (0.667, 0.333, 0.833)
Se (0.000, 0.000, 0.251)
Se (0.000, 0.000, 0.749)
Se (0.333, 0.667, 0.416)
Se (0.333, 0.667, 0.918)
Se (0.667, 0.333, 0.082)
Se (0.667, 0.333, 0.584)

Properties
* ρ: 10.83 g cm⁻³
* energy above the lowest structure with this stoichiometry: 0 meV per atom

12.
This record from Alexandria describes a relaxed Th2ZnTc crystal. The functional is PBE.

Unit cell a=3.576 b=3.576 c=7.468 alpha=90.00 beta=90.00 gamma=90.00
Fractional coordinates of all 4 atoms:
Th (0.000, 0.000, 0.235)
Th (0.000, 0.000, 0.765)
Zn (0.500, 0.500, 0.500)
Tc (0.500, 0.500, 0.000)

Properties
* ΔH_f (0 K): -0.147 eV/atom
* ρ: 10.91 g cm⁻³
* energy above the lowest structure with this stoichiometry: 56 meV per atom

13.
This record from Alexandria describes a relaxed Nb3Re2Mo2 crystal. The functional is PBE.

Unit cell a=10.164 b=3.197 c=7.179 alpha=90.00 beta=98.13 gamma=90.00
Fractional coordinates of all 14 atoms:
Nb (0.000, 0.000, 0.000)
Nb (0.141, 0.000, 0.428)
Nb (0.359, 0.500, 0.572)
Nb (0.500, 0.500, 0.000)
Nb (0.641, 0.500, 0.428)
Nb (0.859, 0.000, 0.572)
Re (0.218, 0.500, 0.141)
Re (0.282, 0.000, 0.859)
Re (0.718, 0.000, 0.141)
Re (0.782, 0.500, 0.859)
Mo (0.073, 0.500, 0.718)
Mo (0.427, 0.000, 0.282)
Mo (0.573, 0.000, 0.718)
Mo (0.927, 0.500, 0.282)

Properties
* ΔH_f (0 K): -0.152 eV/atom
* ρ: 12.12 g cm⁻³
* energy above the lowest structure with this stoichiometry: 0 meV per atom

14.
This record from Alexandria describes a relaxed Tb2Pr3Tm8 crystal. The functional is PBE.

Unit cell a=6.148 b=6.165 c=11.215 alpha=89.91 beta=79.34 gamma=80.28
Fractional coordinates of all 13 atoms:
Tb (0.116, 0.230, 0.038)
Tb (0.884, 0.770, 0.962)
Pr (0.268, 0.538, 0.420)
Pr (0.500, 0.000, 0.500)
Pr (0.732, 0.462, 0.580)
Tm (0.037, 0.074, 0.342)
Tm (0.192, 0.388, 0.736)
Tm (0.346, 0.692, 0.113)
Tm (0.423, 0.849, 0.811)
Tm (0.577, 0.151, 0.189)
Tm (0.654, 0.308, 0.887)
Tm (0.808, 0.612, 0.264)
Tm (0.963, 0.926, 0.658)

Properties
* ΔH_f (0 K): 0.027 eV/atom
* ρ: 8.44 g cm⁻³
* energy above the lowest structure with this stoichiometry: 0 meV per atom

15.
This record from Alexandria describes a relaxed Li4ZnAg15 crystal. The functional is PBE.

Unit cell a=4.139 b=4.139 c=19.940 alpha=90.00 beta=90.00 gamma=90.00
Fractional coordinates of all 20 atoms:
Li (0.000, 0.000, 0.100)
Li (0.000, 0.000, 0.299)
Li (0.000, 0.000, 0.701)
Li (0.000, 0.000, 0.900)
Zn (0.000, 0.000, 0.500)
Ag (0.000, 0.500, 0.000)
Ag (0.000, 0.500, 0.200)
Ag (0.000, 0.500, 0.400)
Ag (0.000, 0.500, 0.600)
Ag (0.000, 0.500, 0.800)
Ag (0.500, 0.000, 0.000)
Ag (0.500, 0.000, 0.200)
Ag (0.500, 0.000, 0.400)
Ag (0.500, 0.000, 0.600)
Ag (0.500, 0.000, 0.800)
Ag (0.500, 0.500, 0.100)
Ag (0.500, 0.500, 0.299)
Ag (0.500, 0.500, 0.500)
Ag (0.500, 0.500, 0.701)
Ag (0.500, 0.500, 0.900)

Properties
* ΔH_f (0 K): -0.094 eV/atom
* ρ: 8.32 g cm⁻³

16.
This record from Alexandria describes a relaxed Cs2HgBiN crystal. The functional is PBE.

Unit cell a=7.643 b=7.643 c=5.797 alpha=90.00 beta=90.00 gamma=90.00
Fractional coordinates of all 5 atoms:
Cs (0.000, 0.500, 0.000)
Cs (0.500, 0.000, 0.000)
Hg (0.000, 0.000, 0.500)
Bi (0.000, 0.000, 0.000)
N (0.500, 0.500, 0.500)

Properties
* ρ: 3.38 g cm⁻³
* total DFT energy (no corrections): -10.6 eV per cell

17.
This record from Alexandria describes a relaxed TbHo2Fe crystal. The functional is PBE.

Unit cell a=5.234 b=5.234 c=12.699 alpha=90.00 beta=90.00 gamma=120.00
Fractional coordinates of all 12 atoms:
Tb (0.000, 0.000, 0.000)
Tb (0.333, 0.667, 0.667)
Tb (0.667, 0.333, 0.333)
Ho (0.000, 0.000, 0.252)
Ho (0.000, 0.000, 0.748)
Ho (0.333, 0.667, 0.415)
Ho (0.333, 0.667, 0.918)
Ho (0.667, 0.333, 0.082)
Ho (0.667, 0.333, 0.585)
Fe (0.000, 0.000, 0.500)
Fe (0.333, 0.667, 0.167)
Fe (0.667, 0.333, 0.833)

Properties
* ΔH_f (0 K): 0.383 eV/atom
* ρ: 9.01 g cm⁻³
* energy above the lowest structure with this stoichiometry: 399 meV per atom

18.
This record from Alexandria describes a relaxed AlTcI2N crystal. The functional is PBE.

Unit cell a=5.780 b=5.780 c=3.539 alpha=90.00 beta=90.00 gamma=90.00
Fractional coordinates of all 5 atoms:
Al (0.000, 0.000, 0.000)
Tc (0.500, 0.500, 0.500)
I (0.000, 0.500, 0.000)
I (0.500, 0.000, 0.000)
N (0.000, 0.000, 0.500)

Properties
* ρ: 5.52 g cm⁻³
* energy above the lowest structure with this stoichiometry: 407 meV per atom

19.
This record from Alexandria describes a relaxed Na12Hg2Bi5 crystal. The functional is PBE.

Unit cell a=9.191 b=9.191 c=10.297 alpha=94.01 beta=94.01 gamma=45.57
Fractional coordinates of all 19 atoms:
Na (0.030, 0.030, 0.181)
Na (0.095, 0.562, 0.603)
Na (0.099, 0.594, 0.032)
Na (0.406, 0.901, 0.968)
Na (0.422, 0.422, 0.289)
Na (0.438, 0.905, 0.397)
Na (0.562, 0.095, 0.603)
Na (0.578, 0.578, 0.711)
Na (0.594, 0.099, 0.032)
Na (0.901, 0.406, 0.968)
Na (0.905, 0.438, 0.397)
Na (0.970, 0.970, 0.819)
Hg (0.227, 0.773, 0.500)
Hg (0.773, 0.227, 0.500)
Bi (0.135, 0.135, 0.657)
Bi (0.231, 0.231, 0.197)
Bi (0.500, 0.500, 0.000)
Bi (0.769, 0.769, 0.803)
Bi (0.865, 0.865, 0.343)

Properties
* ΔH_f (0 K): -0.213 eV/atom
* ρ: 4.62 g cm⁻³

20.
This record from Alexandria describes a relaxed YScSi crystal. The functional is PBE.

Unit cell a=3.262 b=3.262 c=12.792 alpha=90.00 beta=90.00 gamma=90.00
Fractional coordinates of all 6 atoms:
Y (0.000, 0.000, 0.000)
Y (0.500, 0.500, 0.500)
Sc (0.000, 0.000, 0.719)
Sc (0.500, 0.500, 0.219)
Si (0.000, 0.000, 0.351)
Si (0.500, 0.500, 0.851)

Properties
* ρ: 3.95 g cm⁻³
* energy above the lowest structure with this stoichiometry: 282 meV per atom